{
  "formula": "KSi2Mo",
  "functional": "GGA-PBE",
  "state": "relaxed",
  "rho_g_cm3": 4.6,
  "de_polymorph_mev_per_atom": 1128,
  "formation_energy_uncorrected_ev_per_atom": 1.2058,
  "sg": "F-43m",
  "lattice": [[-4.0582, 1.2868, -1.7863], [-1.5898, -2.0402, -3.8244], [-3.6318, -2.8406, 0.2383]],
  "species": ["K", "Si", "Si", "Mo"],
  "frac_coords": [[0.5000, 0.5000, 0.5000], [0.2500, 0.2500, 0.2500], [0.0000, 0.0000, 0.0000], [0.7500, 0.7500, 0.7500]]
}